Record 1
# K3AuI6

K3AuI6 after structural relaxation (GGA-PBE, Alexandria via LeMat-Bulk).

Lattice parameters (Å, degrees): 9.4427 9.4427 9.4427 86.52 86.52 86.52
Closest atoms and distances in Å follow each position.
Element x y z (fractional)
Au  0.0000  0.0000  0.0000  6 I 2.92
Au  0.5000  0.5000  0.5000  6 I 2.93
I  0.4755  0.5134  0.8096  1 Au 2.93
I  0.7544  0.0988  0.8398  1 Au 2.92
I  0.1602  0.2456  0.9012  1 Au 2.92
I  0.5245  0.4866  0.1904  1 Au 2.93
I  0.0988  0.8398  0.7544  1 Au 2.92
I  0.5134  0.8096  0.4755  1 Au 2.93
I  0.4866  0.1904  0.5245  1 Au 2.93
I  0.8398  0.7544  0.0988  1 Au 2.92
I  0.9012  0.1602  0.2456  1 Au 2.92
I  0.8096  0.4755  0.5134  1 Au 2.93
I  0.1904  0.5245  0.4866  1 Au 2.93
I  0.2456  0.9012  0.1602  1 Au 2.92
K  0.5516  0.1050  0.1768  5 I 3.44-3.62
K  0.4484  0.8950  0.8232  5 I 3.44-3.62
K  0.1768  0.5516  0.1050  5 I 3.44-3.62
K  0.8950  0.8232  0.4484  5 I 3.44-3.62
K  0.1050  0.1768  0.5516  5 I 3.44-3.62
K  0.8232  0.4484  0.8950  5 I 3.44-3.62

* total magnetization: 1.865 μB/cell
* E_form (uncorrected): -0.81 eV per atom
* total energy: -23.98 eV/f.u.

---

Record 2
# NaGdSe2

NaGdSe2 after structural relaxation (GGA-PBE, Alexandria via LeMat-Bulk).

Lattice parameters (Å, degrees): 7.4011 7.4011 7.4011 32.91 32.91 32.91
Closest atoms and distances in Å follow each position.
Element x y z (fractional)
Se  0.7437  0.7437  0.7437  3 Gd 2.91, 3 Na 3.07
Se  0.2563  0.2563  0.2563  3 Gd 2.91, 3 Na 3.07
Gd  0.0000  0.0000  0.0000  6 Se 2.91
Na  0.5000  0.5000  0.5000  6 Se 3.07

* total magnetization: 7.000 μB/cell
* E_form (uncorrected): -1.71 eV per atom
* total energy: -29.21 eV/f.u.

---

Record 3
# NpBe17Re

NpBe17Re after structural relaxation (GGA-PBE, Alexandria via LeMat-Bulk).

Lattice parameters (Å, degrees): 5.6407 5.6407 5.6407 82.83 82.83 82.83
Closest atoms and distances in Å follow each position.
Element x y z (fractional)
Be  0.0004  0.4999  0.0004  10 Be 2.11-2.31
Be  0.7044  0.2883  0.0068  8 Be 2.10-2.30
Be  0.1009  0.1009  0.1009  7 Be 2.10-2.27
Be  0.0004  0.0004  0.4999  10 Be 2.11-2.31
Be  0.7044  0.0068  0.2883  8 Be 2.10-2.30
Be  0.6505  0.6505  0.1652  9 Be 2.16-2.41
Be  0.6505  0.1652  0.6505  9 Be 2.16-2.41
Be  0.0068  0.7044  0.2883  8 Be 2.10-2.30
Be  0.9086  0.9086  0.9086  4 Be 2.10-2.31
Be  0.8521  0.3415  0.3415  9 Be 2.13-2.30
Be  0.0068  0.2883  0.7044  8 Be 2.10-2.30
Be  0.2883  0.7044  0.0068  8 Be 2.10-2.30
Be  0.3415  0.3415  0.8521  9 Be 2.13-2.30
Be  0.4999  0.0004  0.0004  10 Be 2.11-2.31
Be  0.3415  0.8521  0.3415  9 Be 2.13-2.30
Be  0.1652  0.6505  0.6505  9 Be 2.16-2.41
Be  0.2883  0.0068  0.7044  8 Be 2.10-2.30
Re  0.3276  0.3276  0.3276  13 Be 2.48-2.73
Np  0.6619  0.6619  0.6619  19 Be 2.69-2.86

* total magnetization: 3.994 μB/cell
* total energy: -88.57 eV/f.u.
* DFT formation energy: 9 meV/atom

---

Record 4
# Ti7Sb2As2

Ti7Sb2As2 after structural relaxation (GGA-PBE, Alexandria via LeMat-Bulk).

Lattice parameters (Å, degrees): 6.2200 5.6961 6.2200 89.98 97.37 90.02
Closest atoms and distances in Å follow each position.
Element x y z (fractional)
Ti  0.5000  0.2569  0.5000  2 As 2.58, 1 Ti 2.77, 2 Sb 2.87
Ti  0.0001  0.2546  0.5001  2 As 2.52, 2 Sb 2.76, 1 Ti 2.80
Ti  0.5000  0.7431  0.5000  2 As 2.58, 1 Ti 2.77, 2 Sb 2.87
Ti  0.5001  0.7454  0.0001  2 As 2.52, 2 Sb 2.76, 1 Ti 2.80
Ti  0.0000  0.0000  0.0000  2 As 2.55
Ti  0.4999  0.2546  0.9999  2 As 2.52, 2 Sb 2.76, 1 Ti 2.80
Ti  0.9999  0.7454  0.4999  2 As 2.52, 2 Sb 2.76, 1 Ti 2.80
As  0.2731  0.9998  0.7269  7 Ti 2.52-2.58
As  0.7269  0.0002  0.2731  7 Ti 2.52-2.58
Sb  0.1936  0.5000  0.1936  6 Ti 2.76-2.87
Sb  0.8064  0.5000  0.8064  6 Ti 2.76-2.87

* total magnetization: 0.000 μB/cell
* E_form (uncorrected): -0.34 eV per atom
* total energy: -76.54 eV/f.u.

---

Record 5
# TaVRh

TaVRh after structural relaxation (GGA-PBE, Alexandria via LeMat-Bulk).

Lattice parameters (Å, degrees): 3.3887 2.9438 9.2450 90.00 90.00 90.00
Closest atoms and distances in Å follow each position.
Element x y z (fractional)
Ta  0.5000  0.5000  0.2552  4 V 2.73, 5 Rh 2.76-3.02, 2 Ta 2.94
Ta  0.0000  0.0000  0.7552  4 V 2.73, 5 Rh 2.76-3.02, 2 Ta 2.94
V  0.5000  0.5000  0.9230  4 Rh 2.68, 4 Ta 2.73, 2 V 2.94
V  0.0000  0.0000  0.4230  4 Rh 2.68, 4 Ta 2.73, 2 V 2.94
Rh  0.5000  0.5000  0.5821  4 V 2.68, 4 Ta 2.76, 2 Rh 2.94
Rh  0.0000  0.0000  0.0821  4 V 2.68, 4 Ta 2.76, 2 Rh 2.94

* total magnetization: 0.000 μB/cell
* total energy: -29.05 eV/f.u.
* DFT formation energy: -243 meV/atom

---

Record 6
# La2NdNbN4

La2NdNbN4 after structural relaxation (GGA-PBE, Alexandria via LeMat-Bulk).

Lattice parameters (Å, degrees): 3.5070 6.3865 12.9179 90.00 90.00 105.94
Closest atoms and distances in Å follow each position.
Element x y z (fractional)
La  0.3677  0.7355  0.9661  3 N 2.43-2.52
La  0.6323  0.2645  0.0339  3 N 2.43-2.52
La  0.3677  0.7355  0.5339  3 N 2.43-2.52
La  0.6323  0.2645  0.4661  3 N 2.43-2.52
Nd  0.8982  0.7964  0.2500  6 N 2.67-2.78
Nd  0.1018  0.2036  0.7500  6 N 2.67-2.78
N  0.7313  0.4626  0.8633  1 Nb 1.95
N  0.5624  0.1248  0.2500  2 Nb 2.15
N  0.2687  0.5374  0.3633  1 Nb 1.95
N  0.4376  0.8752  0.7500  2 Nb 2.15
N  0.7313  0.4626  0.6367  1 Nb 1.95
N  0.0000  0.0000  0.0000  4 La 2.43
N  0.0000  0.0000  0.5000  4 La 2.43
N  0.2687  0.5374  0.1367  1 Nb 1.95
Nb  0.1634  0.3267  0.2500  4 N 1.95-2.15
Nb  0.8366  0.6733  0.7500  4 N 1.95-2.15

* total magnetization: 0.000 μB/cell
* E_form (uncorrected): -1.08 eV per atom
* total energy: -66.61 eV/f.u.

---

Record 7
# KAlTlO4

KAlTlO4 after structural relaxation (GGA-PBE, Alexandria via LeMat-Bulk).

Lattice parameters (Å, degrees): 5.7977 5.8422 7.3410 90.00 107.99 90.00
Closest atoms and distances in Å follow each position.
Element x y z (fractional)
O  0.9506  0.4737  0.6836  1 Al 1.80
O  0.5103  0.2500  0.4273  1 Al 1.78
O  0.5339  0.2500  0.8015  1 Al 1.77
O  0.0494  0.9737  0.3164  1 Al 1.80
O  0.4661  0.7500  0.1985  1 Al 1.77
O  0.4897  0.7500  0.5727  1 Al 1.78
O  0.9506  0.0263  0.6836  1 Al 1.80
O  0.0494  0.5263  0.3164  1 Al 1.80
Tl  0.1901  0.2500  0.5446  6 O 2.27-2.36
Tl  0.8099  0.7500  0.4554  6 O 2.27-2.36
Al  0.7294  0.2500  0.6586  4 O 1.77-1.80
Al  0.2706  0.7500  0.3414  4 O 1.77-1.80
K  0.2942  0.2500  0.0585  2 O 2.61-2.67
K  0.7058  0.7500  0.9415  2 O 2.61-2.67

* total magnetization: 2.025 μB/cell
* E_form (uncorrected): -1.45 eV per atom
* total energy: -37.17 eV/f.u.

---

Record 8
# CsCe2Br8

CsCe2Br8 after structural relaxation (GGA-PBE, Alexandria via LeMat-Bulk).

Lattice parameters (Å, degrees): 9.1444 7.3300 7.3300 77.18 77.58 77.58
Closest atoms and distances in Å follow each position.
Element x y z (fractional)
Br  0.3738  0.0724  0.6946  2 Ce 2.96-2.98
Br  0.6262  0.9276  0.3054  2 Ce 2.96-2.98
Br  0.6262  0.3054  0.9276  2 Ce 2.96-2.98
Br  0.8217  0.7477  0.7477  1 Ce 2.75
Br  0.3738  0.6946  0.0724  2 Ce 2.96-2.98
Br  0.2933  0.5854  0.5854  2 Ce 2.90-3.03
Br  0.1783  0.2523  0.2523  1 Ce 2.75
Br  0.7067  0.4146  0.4146  2 Ce 2.90-3.03
Ce  0.4477  0.3150  0.3150  7 Br 2.75-3.03
Ce  0.5523  0.6850  0.6850  7 Br 2.75-3.03
Cs  0.0000  0.0000  0.0000  6 Br 3.69-3.73

* total magnetization: 1.033 μB/cell
* E_form (uncorrected): -1.75 eV per atom
* total energy: -45.32 eV/f.u.

---

Question: The highest total magnetization belongs to which entry?
Answer: NaGdSe2

---

Question: The highest total magnetization belongs to which entry?
Answer: NaGdSe2

---

Question: Among the records above, which one has the lowest total energy?
Answer: NpBe17Re